1.
VCu3Se2S2 at its PBEsol-relaxed geometry. Source: Alexandria, functional meta-GGA SCAN.

Geometry as POSCAR:
```
VCu3Se2S2
1.0
3.748 -3.894 0.000
3.748 3.894 0.000
0.000 0.000 5.401
V Cu Se S
1 3 2 2
Direct
0.000 0.000 0.000
0.000 0.000 0.507
0.000 0.500 0.990
0.500 0.000 0.990
0.257 0.257 0.248
0.743 0.743 0.248
0.230 0.770 0.762
0.770 0.230 0.762
```


2.
MgCo3F at its PBEsol-relaxed geometry. Source: Alexandria, functional meta-GGA SCAN.

Geometry as POSCAR:
```
MgCo3F
1.0
3.986 0.000 0.000
0.000 3.986 0.000
0.000 0.000 3.986
Mg Co F
1 3 1
Direct
0.000 0.000 0.000
0.000 0.500 0.500
0.500 0.000 0.500
0.500 0.500 0.000
0.500 0.500 0.500
```


3.
Ni2TePb at its PBEsol-relaxed geometry. Source: Alexandria, functional meta-GGA SCAN.

Geometry as POSCAR:
```
Ni2TePb
1.0
-1.881 1.881 5.079
1.881 -1.881 5.079
1.881 1.881 -5.079
Ni Te Pb
2 1 1
Direct
0.000 0.000 0.000
0.750 0.250 0.500
0.250 0.750 0.500
0.500 0.500 0.000
```

Values from the calculation:
As for the excess energy over the best structure of this formula in the dataset: 0.3943 eV per atom.


| no. | E_form (uncorrected) (eV per atom) |
| --- | --- |
| 1 | -0.6226 |
| 2 | 0.1250 |
| 3 | 0.3967 |